First-principles (PBE+U) data for crystalline NbWO2 at its relaxed geometry, as listed in Alexandria via LeMat-Bulk.

abc: 2.877 2.877 20.785
angles: 90.00 90.00 120.00
Fractional coordinates of all 12 atoms:
Nb1 0.000 0.000 0.000
Nb2 0.333 0.667 0.667
Nb3 0.667 0.333 0.333
W1 0.000 0.000 0.500
W2 0.333 0.667 0.167
W3 0.667 0.333 0.833
O1 0.000 0.000 0.403
O2 0.000 0.000 0.597
O3 0.333 0.667 0.070
O4 0.333 0.667 0.264
O5 0.667 0.333 0.736
O6 0.667 0.333 0.930

Summary:
- ΔE to the lowest computed polymorph: 0.000 eV/atom
- E_tot: -7.965 eV/atom
- Space-group type: R-3m, No. 166